Record 1
First-principles (PBE) data for a geometry-optimized BaSr2MnI8 structure, as listed in Alexandria.

- E: -43.05 eV/cell

a b c (Å): 7.372 9.774 7.744
angles (deg): 90.00 90.85 90.00
Space group P2/m (No. 10)
Unique sites:
Ba1 0.000 0.000 0.000 [1 per cell]
Sr1 0.500 0.267 0.500 [2 per cell]
Mn1 0.000 0.500 0.000 [1 per cell]
I1 0.227 0.288 0.152 [4 per cell]
I2 0.241 0.500 0.680 [2 per cell]
I3 0.269 0.000 0.641 [2 per cell]

***

Record 2
First-principles (PBE) data for a geometry-optimized Ac6Ni2Ru structure, as listed in Alexandria.

- ΔH_f (0 K): -181.3 meV per atom

a b c (Å): 7.399 6.949 14.582
angles (deg): 90.00 120.48 90.00
Space group P2_1/c (No. 14)
Unique sites:
Ac1 0.006 0.243 0.336 [4 per cell]
Ac2 0.335 0.241 0.664 [4 per cell]
Ac3 0.335 0.730 0.000 [4 per cell]
Ni1 0.324 0.001 0.324 [4 per cell]
Ru1 0.000 0.000 0.500 [2 per cell]

***

Record 3
First-principles (PBE) data for a geometry-optimized LiTbCe2S6 structure, as listed in Alexandria.

- E: -180.87 eV/cell

a b c (Å): 6.9151 6.9151 18.4102
angles (deg): 90.00 90.00 120.00
Space group R3 (No. 146, hexagonal axes)
Unique sites:
Li1 0.0000 0.0000 0.0000 [3 per cell]
Tb1 0.0000 0.0000 0.5000 [3 per cell]
Ce1 0.0000 0.0000 0.2993 [3 per cell]
Ce2 0.0000 0.0000 0.7998 [3 per cell]
S1 0.0003 0.7003 0.8977 [9 per cell]
S2 0.0045 0.3011 0.3974 [9 per cell]

***

Copy entry 3 word for word.
First-principles (PBE) data for a geometry-optimized LiTbCe2S6 structure, as listed in Alexandria.

- E: -180.87 eV/cell

a b c (Å): 6.9151 6.9151 18.4102
angles (deg): 90.00 90.00 120.00
Space group R3 (No. 146, hexagonal axes)
Unique sites:
Li1 0.0000 0.0000 0.0000 [3 per cell]
Tb1 0.0000 0.0000 0.5000 [3 per cell]
Ce1 0.0000 0.0000 0.2993 [3 per cell]
Ce2 0.0000 0.0000 0.7998 [3 per cell]
S1 0.0003 0.7003 0.8977 [9 per cell]
S2 0.0045 0.3011 0.3974 [9 per cell]